1.
# PBE TlInN2O, relaxed
# **Energy**: -3.8651 eV per atom
# **E_form (uncorrected)**: 1.478 eV per atom
data_TlInN2O
_symmetry_space_group_name_H-M 'P 4/m m m'
_symmetry_Int_Tables_number 123
_symmetry_space_group_name_Hall '-P 4 2'
_cell_length_a 4.312
_cell_length_b 4.312
_cell_length_c 4.295
_cell_angle_alpha 90.00
_cell_angle_beta 90.00
_cell_angle_gamma 90.00
loop_
_atom_site_label
_atom_site_fract_x
_atom_site_fract_y
_atom_site_fract_z
Tl1 0.000 0.000 0.000
In1 0.500 0.500 0.500
N1 0.000 0.500 0.000
O1 0.000 0.000 0.500

***

2.
# PBE Tb2ScHg, relaxed
# **Energy of formation from the pure elements**: -8.1 kJ per mole of atoms
# **Energy above the most stable polymorph in this dataset**: 0.1187 eV/atom
# **Energy**: -4.0574 eV per atom
data_Tb2ScHg
_symmetry_space_group_name_H-M 'F m -3 m'
_symmetry_Int_Tables_number 225
_symmetry_space_group_name_Hall '-F 4 2 3'
_cell_length_a 7.528
_cell_length_b 7.528
_cell_length_c 7.528
_cell_angle_alpha 90.00
_cell_angle_beta 90.00
_cell_angle_gamma 90.00
loop_
_atom_site_label
_atom_site_fract_x
_atom_site_fract_y
_atom_site_fract_z
Tb1 0.250 0.250 0.250
Sc1 0.000 0.000 0.000
Hg1 0.000 0.000 0.500